(1)
## Cd12Ga2Ag5 (PBE-GGA)

Data for an optimized crystal structure of Cd12Ga2Ag5.

Values from the calculation:
Formation enthalpy at 0 K: 0.03 eV/atom
Uncorrected energy: -0.059 hartree per atom
Polymorph energy (0 for the lowest one): 0.006 eV per atom

Cell: 7.8594 7.8594 7.3168 Å, 94.60 94.60 65.71°
Atoms (fractional coordinates):
1 Cd 0.0544 0.0544 0.2455
2 Cd 0.0639 0.4320 0.3124
3 Cd 0.1093 0.6836 0.0688
4 Cd 0.3164 0.8907 0.9312
5 Cd 0.3922 0.3922 0.6348
6 Cd 0.4320 0.0639 0.3124
7 Cd 0.5680 0.9361 0.6876
8 Cd 0.6078 0.6078 0.3652
9 Cd 0.6836 0.1093 0.0688
10 Cd 0.8907 0.3164 0.9312
11 Cd 0.9361 0.5680 0.6876
12 Cd 0.9456 0.9456 0.7545
13 Ga 0.2399 0.7601 0.5000
14 Ga 0.7601 0.2399 0.5000
15 Ag 0.1590 0.1590 0.6181
16 Ag 0.2818 0.2818 0.9751
17 Ag 0.5000 0.5000 0.0000
18 Ag 0.7182 0.7182 0.0249
19 Ag 0.8410 0.8410 0.3819


(2)
## P2PbF (PBE-GGA)

Data for an optimized crystal structure of P2PbF.

Values from the calculation:
Uncorrected energy: -0.144 hartree per atom
Polymorph energy (0 for the lowest one): 0.770 eV per atom
ΔE_f (raw): 0.19 eV per atom

Cell: 4.6567 4.6567 4.6567 Å, 60.00 60.00 60.00°
Atoms (fractional coordinates):
1 P 0.2500 0.2500 0.2500
2 P 0.7500 0.7500 0.7500
3 Pb 0.0000 0.0000 0.0000
4 F 0.5000 0.5000 0.5000


(3)
## SrPuCoN3 (PBE-GGA)

Data for an optimized crystal structure of SrPuCoN3.

Values from the calculation:
Uncorrected energy: -0.321 hartree per atom
ΔE_f (raw): -0.71 eV per atom

Cell: 7.2499 3.4661 7.5505 Å, 90.00 100.88 90.00°
Atoms (fractional coordinates):
1 Sr 0.1780 0.2500 0.2050
2 Sr 0.8220 0.7500 0.7950
3 Pu 0.3447 0.7500 0.8341
4 Pu 0.6553 0.2500 0.1659
5 Co 0.0768 0.2500 0.5954
6 Co 0.9232 0.7500 0.4046
7 N 0.1449 0.2500 0.8509
8 N 0.1661 0.7500 0.5370
9 N 0.4418 0.7500 0.1358
10 N 0.5582 0.2500 0.8642
11 N 0.8339 0.2500 0.4630
12 N 0.8551 0.7500 0.1491


(4)
## LaCuOs2 (PBE-GGA)

Data for an optimized crystal structure of LaCuOs2.

Values from the calculation:
Formation enthalpy at 0 K: 0.28 eV/atom
Uncorrected energy: -0.279 hartree per atom
Polymorph energy (0 for the lowest one): 0.025 eV per atom

Cell: 2.9091 4.3200 5.8064 Å, 90.00 100.76 90.00°
Atoms (fractional coordinates):
1 La 0.0000 0.0000 0.0000
2 Cu 0.4104 0.5000 0.7444
3 Os 0.3825 0.0000 0.4881
4 Os 0.7707 0.5000 0.3620


(5)
## BaLaCoRe2 (PBE-GGA)

Data for an optimized crystal structure of BaLaCoRe2.

Values from the calculation:
Formation enthalpy at 0 K: 2.42 eV/atom
Uncorrected energy: -0.196 hartree per atom

Cell: 5.1481 5.1481 4.7948 Å, 90.00 90.00 90.00°
Atoms (fractional coordinates):
1 Ba 0.0000 0.0000 0.0000
2 La 0.5000 0.5000 0.5000
3 Co 0.0000 0.0000 0.5000
4 Re 0.0000 0.5000 0.0000
5 Re 0.5000 0.0000 0.0000


(6)
## Tb4InAg5 (PBE-GGA)

Data for an optimized crystal structure of Tb4InAg5.

Values from the calculation:
Formation enthalpy at 0 K: -0.27 eV/atom
Uncorrected energy: -0.140 hartree per atom

Cell: 3.6716 3.6716 17.6246 Å, 90.00 90.00 90.00°
Atoms (fractional coordinates):
1 Tb 0.0000 0.0000 0.1041
2 Tb 0.0000 0.0000 0.3100
3 Tb 0.0000 0.0000 0.6900
4 Tb 0.0000 0.0000 0.8959
5 In 0.0000 0.0000 0.5000
6 Ag 0.5000 0.5000 0.0000
7 Ag 0.5000 0.5000 0.2076
8 Ag 0.5000 0.5000 0.4060
9 Ag 0.5000 0.5000 0.5940
10 Ag 0.5000 0.5000 0.7924


(7)
## BeTePt (PBE-GGA)

Data for an optimized crystal structure of BeTePt.

Values from the calculation:
Uncorrected energy: -0.158 hartree per atom
ΔE_f (raw): 0.00 eV per atom

Cell: 6.1068 6.1068 6.1068 Å, 150.65 150.65 41.99°
Atoms (fractional coordinates):
1 Be 0.0000 0.0000 0.0000
2 Te 0.2967 0.2967 0.0000
3 Pt 0.5602 0.5602 0.0000


(8)
## LaHfFe2 (PBE-GGA)

Data for an optimized crystal structure of LaHfFe2.

Values from the calculation:
Formation enthalpy at 0 K: 0.56 eV/atom
Uncorrected energy: -0.272 hartree per atom

Cell: 5.8406 5.8406 5.8406 Å, 105.53 105.53 117.69°
Atoms (fractional coordinates):
1 La 0.0000 0.0000 0.0000
2 La 0.7500 0.2500 0.5000
3 Hf 0.2500 0.7500 0.5000
4 Hf 0.5000 0.5000 0.0000
5 Fe 0.1356 0.1250 0.5106
6 Fe 0.3750 0.8644 0.9894
7 Fe 0.6144 0.6250 0.4894
8 Fe 0.8750 0.3856 0.0106


(9)
## BaSnBr2 (PBE-GGA)

Data for an optimized crystal structure of BaSnBr2.

Values from the calculation:
Uncorrected energy: -0.120 hartree per atom
Polymorph energy (0 for the lowest one): 0.009 eV per atom
ΔE_f (raw): -0.95 eV per atom

Cell: 5.7293 5.7293 5.7293 Å, 60.00 60.00 60.00°
Atoms (fractional coordinates):
1 Ba 0.0000 0.0000 0.0000
2 Sn 0.5000 0.5000 0.5000
3 Br 0.2500 0.2500 0.2500
4 Br 0.7500 0.7500 0.7500


(10)
## ZnTc2Au (PBE-GGA)

Data for an optimized crystal structure of ZnTc2Au.

Values from the calculation:
Formation enthalpy at 0 K: 0.46 eV/atom
Uncorrected energy: -0.216 hartree per atom

Cell: 4.7481 4.7481 2.7458 Å, 90.00 90.00 90.00°
Atoms (fractional coordinates):
1 Zn 0.0000 0.0000 0.0000
2 Tc 0.0000 0.5000 0.5000
3 Tc 0.5000 0.0000 0.5000
4 Au 0.5000 0.5000 0.0000


(11)
## Rb3Dy2PaS6 (PBE-GGA)

Data for an optimized crystal structure of Rb3Dy2PaS6.

Values from the calculation:
Uncorrected energy: -0.204 hartree per atom
ΔE_f (raw): -1.70 eV per atom

Cell: 7.0524 7.0524 8.0638 Å, 98.38 98.38 119.99°
Atoms (fractional coordinates):
1 Rb 0.0000 0.0000 0.0000
2 Rb 0.3319 0.6681 0.0000
3 Rb 0.6681 0.3319 0.0000
4 Dy 0.1665 0.8335 0.5000
5 Dy 0.8335 0.1665 0.5000
6 Pa 0.5000 0.5000 0.5000
7 S 0.1042 0.4355 0.3064
8 S 0.2335 0.2335 0.6940
9 S 0.4355 0.1042 0.3064
10 S 0.5645 0.8958 0.6936
11 S 0.7665 0.7665 0.3060
12 S 0.8958 0.5645 0.6936


(12)
## YHo5TmTh2 (PBE-GGA)

Data for an optimized crystal structure of YHo5TmTh2.

Values from the calculation:
Formation enthalpy at 0 K: 0.35 eV/atom
Uncorrected energy: -0.186 hartree per atom

Cell: 9.8780 9.8780 9.8780 Å, 127.64 127.64 77.20°
Atoms (fractional coordinates):
1 Y 0.2500 0.2500 0.0000
2 Y 0.7500 0.7500 0.0000
3 Ho 0.0000 0.0000 0.0000
4 Ho 0.0707 0.5707 0.9213
5 Ho 0.1493 0.0707 0.5000
6 Ho 0.3507 0.8507 0.9213
7 Ho 0.4293 0.3507 0.5000
8 Ho 0.5000 0.5000 0.0000
9 Ho 0.5707 0.6493 0.5000
10 Ho 0.6493 0.1493 0.0787
11 Ho 0.8507 0.9293 0.5000
12 Ho 0.9293 0.4293 0.0787
13 Tm 0.2500 0.7500 0.5000
14 Tm 0.7500 0.2500 0.5000
15 Th 0.1197 0.3803 0.5000
16 Th 0.3803 0.8803 0.2606
17 Th 0.6197 0.1197 0.7394
18 Th 0.8803 0.6197 0.5000